{"formula": "SrLiCl2", "functional": "SCAN", "state": "PBEsol geometry", "sg": "P4/mmm (123)", "de_polymorph_mev_per_atom": 132, "e_form_raw_mev_per_atom": -1686, "density_g_cm3": 2.0, "lattice": [[3.5819, 0.0000, 0.0000], [0.0000, 3.5819, 0.0000], [0.0000, 0.0000, 10.5377]], "species": ["Cl", "Cl", "Li", "Sr"], "frac_coords": [[0.0000, 0.0000, 0.6514], [0.0000, 0.0000, 0.3486], [0.5000, 0.5000, 0.0000], [0.5000, 0.5000, 0.5000]]}